Entry from Alexandria via LeMat-Bulk: a relaxed structure of BaMgSc (PBE-GGA).

a b c (Å): 3.7943 3.7943 14.5085
angles (deg): 97.51 97.51 90.00
Last column: magnetic moment on the atom in μB.
Positions (direct):
Mg 0.8386 0.8386 0.6771  0.00
Ba 0.5694 0.5694 0.1387  -0.01
Mg 0.1614 0.1614 0.3229  0.00
Ba 0.4306 0.4306 0.8613  -0.01
Sc 0.7192 0.7192 0.4384  0.18
Sc 0.2808 0.2808 0.5616  0.18

**D(E_F)**: 7.11 states/eV/cell
**Total moment**: 0.29 μB per formula unit
**V**: 205.3 Å³ per cell
**ΔE to the lowest computed polymorph**: 0.00 kcal/mol of atoms

***

Entry from Alexandria via LeMat-Bulk: a relaxed structure of BaMgSc (PBE-GGA).

a b c (Å): 5.6794 5.6794 3.6248
angles (deg): 90.00 90.00 120.00
Positions (direct):
Sc 0.3333 0.6667 0.5265
Ba 0.0000 0.0000 0.0012
Mg 0.6667 0.3333 0.4723

**D(E_F)**: 4.42 states/eV/cell
**Total moment**: 0.00 μB per formula unit
**V**: 101.3 Å³ per cell
**ΔE to the lowest computed polymorph**: 4.94 kcal/mol of atoms

***

Entry from Alexandria via LeMat-Bulk: a relaxed structure of Ba4MgSc (PBE-GGA).

a b c (Å): 7.4209 7.4209 7.4209
angles (deg): 60.00 60.00 60.00
Last column: magnetic moment on the atom in μB.
Positions (direct):
Ba 0.3746 0.8761 0.3746  0.08
Ba 0.3746 0.3746 0.8761  0.08
Sc 0.0000 0.0000 0.0000  0.63
Mg 0.7500 0.7500 0.7500  -0.01
Ba 0.8761 0.3746 0.3746  0.08
Ba 0.3746 0.3746 0.3746  0.08

**Final energy**: -2.0439 eV/atom
**D(E_F)**: 12.40 states/eV/cell
**Total moment**: 2.16 μB per formula unit
**V**: 289.0 Å³ per cell

***

Entry from Alexandria via LeMat-Bulk: a relaxed structure of BaMg2Sc (PBE-GGA).

a b c (Å): 3.8563 3.8213 9.2224
angles (deg): 65.66 90.00 90.00
Positions (direct):
Sc 0.5000 0.2500 0.2500
Mg 0.0000 0.9408 0.0584
Ba 0.5000 0.7500 0.7500
Mg 0.0000 0.5592 0.4416

**D(E_F)**: 4.83 states/eV/cell
**Total moment**: 0.03 μB per formula unit
**V**: 123.8 Å³ per cell
**ΔE to the lowest computed polymorph**: 0.00 kcal/mol of atoms